No. 1
First-principles (PBE) data for a geometry-optimized Ba2ScBe structure, as listed in Alexandria.

The space group is P4mm (No. 99) and the conventional cell measures 3.6966, 3.6966 and 9.8963 Å, with angles of 90.00, 90.00 and 90.00 degrees. The inequivalent atoms are Ba at (0.0000, 0.0000, 0.0000), Ba at (0.5000, 0.5000, 0.3836), Sc at (0.5000, 0.5000, 0.7082) and Be at (0.0000, 0.0000, 0.6060).

No. 2
First-principles (PBE) data for a geometry-optimized Ba2ScBe structure, as listed in Alexandria.

The space group is Imm2 (No. 44) and the conventional cell measures 3.7509, 5.9181 and 12.5197 Å, with angles of 90.00, 90.00 and 90.00 degrees. The inequivalent atoms are Ba at (0.0000, 0.0000, 0.0000), Ba at (0.0000, 0.5000, 0.1963), Sc at (0.0000, 0.0000, 0.3824) and Be at (0.0000, 0.5000, 0.7323).

No. 3
First-principles (PBE) data for a geometry-optimized Ba2ScBe structure, as listed in Alexandria.

The space group is I-42d (No. 122) and the conventional cell measures 11.7071, 11.7071 and 5.1087 Å, with angles of 90.00, 90.00 and 90.00 degrees. The inequivalent atoms are Ba at (0.0964, 0.2500, 0.1250), Sc at (0.0000, 0.0000, 0.5000) and Be at (0.0000, 0.0000, 0.0000).

| no. | formation energy from the elements (meV per atom) | density of states at the Fermi level (states/eV/atom) | calculated density (g cm⁻³) |
| --- | --- | --- | --- |
| 1 | 322 | 1.363 | 4.04 |
| 2 | 412 | 1.458 | 3.93 |
| 3 | 617 | 1.897 | 3.12 |